# PBE CsCdSnSb2, optimized geometry
# - Space-group type: No. 119
# - V: 191.6 Å³/cell
# - Calculated density: 5.26 g/cm³
# - Energy relative to the elements, uncorrected: -0.257 eV per atom
data_CsCdSnSb2
_chemical_formula_sum 'Cs1 Cd1 Sn1 Sb2'
_cell_length_a 4.960
_cell_length_b 4.960
_cell_length_c 8.544
_cell_angle_alpha 106.87
_cell_angle_beta 106.87
_cell_angle_gamma 90.00
_symmetry_space_group_name_H-M 'P 1'
_symmetry_Int_Tables_number 1
loop_
_symmetry_equiv_pos_as_xyz
'x,y,z'
loop_
_atom_site_label
_atom_site_type_symbol
_atom_site_fract_x
_atom_site_fract_y
_atom_site_fract_z
Sn1 Sn 0.750 0.250 0.500
Cd1 Cd 0.250 0.750 0.500
Cs1 Cs 0.000 0.000 0.000
Sb1 Sb 0.642 0.642 0.284
Sb2 Sb 0.358 0.358 0.716

=====

# PBE ThNiSb2N, optimized geometry
# - Space-group type: No. 129
# - V: 226.4 Å³/cell
# - Calculated density: 8.04 g/cm³
# - Energy relative to the elements, uncorrected: -0.678 eV per atom
data_ThNiSb2N
_chemical_formula_sum 'Th2 Ni2 Sb4 N2'
_cell_length_a 3.864
_cell_length_b 3.864
_cell_length_c 15.163
_cell_angle_alpha 90.00
_cell_angle_beta 90.00
_cell_angle_gamma 90.00
_symmetry_space_group_name_H-M 'P 1'
_symmetry_Int_Tables_number 1
loop_
_symmetry_equiv_pos_as_xyz
'x,y,z'
loop_
_atom_site_label
_atom_site_type_symbol
_atom_site_fract_x
_atom_site_fract_y
_atom_site_fract_z
Sb1 Sb 0.000 0.500 0.071
Sb2 Sb 0.500 0.000 0.929
Sb3 Sb 0.000 0.500 0.738
Sb4 Sb 0.500 0.000 0.262
Th1 Th 0.500 0.000 0.582
Th2 Th 0.000 0.500 0.418
Ni1 Ni 0.000 0.500 0.902
Ni2 Ni 0.500 0.000 0.098
N1 N 0.500 0.500 0.500
N2 N 0.000 0.000 0.500

=====

# PBE Ca2ReO5, optimized geometry
# - Space-group type: No. 69
# - V: 100.0 Å³/cell
# - Relative energy among the computed polymorphs: 50.49 kJ per mole of atoms
# - Calculated density: 5.75 g/cm³
# - Energy relative to the elements, uncorrected: -1.788 eV per atom
data_Ca2ReO5
_chemical_formula_sum 'Ca2 Re1 O5'
_cell_length_a 4.630
_cell_length_b 4.364
_cell_length_c 6.279
_cell_angle_alpha 78.72
_cell_angle_beta 68.37
_cell_angle_gamma 57.96
_symmetry_space_group_name_H-M 'P 1'
_symmetry_Int_Tables_number 1
loop_
_symmetry_equiv_pos_as_xyz
'x,y,z'
loop_
_atom_site_label
_atom_site_type_symbol
_atom_site_fract_x
_atom_site_fract_y
_atom_site_fract_z
O1 O 0.458 0.832 0.251
O2 O 0.210 0.832 0.749
O3 O 0.790 0.168 0.251
O4 O 0.542 0.168 0.749
O5 O 0.000 0.500 0.500
Ca1 Ca 0.823 0.500 0.853
Ca2 Ca 0.177 0.500 0.147
Re1 Re 0.500 0.500 0.500

=====

# PBE CeDySnPd, optimized geometry
# - Space-group type: No. 216
# - V: 101.7 Å³/cell
# - Calculated density: 8.62 g/cm³
# - Energy relative to the elements: -613 meV/atom
data_CeDySnPd
_chemical_formula_sum 'Ce1 Dy1 Sn1 Pd1'
_cell_length_a 5.239
_cell_length_b 5.239
_cell_length_c 5.239
_cell_angle_alpha 60.00
_cell_angle_beta 60.00
_cell_angle_gamma 60.00
_symmetry_space_group_name_H-M 'P 1'
_symmetry_Int_Tables_number 1
loop_
_symmetry_equiv_pos_as_xyz
'x,y,z'
loop_
_atom_site_label
_atom_site_type_symbol
_atom_site_fract_x
_atom_site_fract_y
_atom_site_fract_z
Sn1 Sn 0.250 0.250 0.250
Dy1 Dy 0.000 0.000 0.000
Ce1 Ce 0.500 0.500 0.500
Pd1 Pd 0.750 0.750 0.750

=====

# PBE CaMg2Pt, optimized geometry
# - Space-group type: No. 65
# - V: 85.6 Å³/cell
# - Calculated density: 5.51 g/cm³
# - Energy relative to the elements: -160 meV/atom
data_CaMg2Pt
_chemical_formula_sum 'Ca1 Mg2 Pt1'
_cell_length_a 5.612
_cell_length_b 5.612
_cell_length_c 3.077
_cell_angle_alpha 90.00
_cell_angle_beta 90.00
_cell_angle_gamma 117.98
_symmetry_space_group_name_H-M 'P 1'
_symmetry_Int_Tables_number 1
loop_
_symmetry_equiv_pos_as_xyz
'x,y,z'
loop_
_atom_site_label
_atom_site_type_symbol
_atom_site_fract_x
_atom_site_fract_y
_atom_site_fract_z
Mg1 Mg 0.500 0.500 0.000
Mg2 Mg 0.000 0.000 0.000
Pt1 Pt 0.500 0.000 0.500
Ca1 Ca 0.000 0.500 0.500

=====

# PBE ZnIrI2N, optimized geometry
# - Space-group type: No. 123
# - V: 119.9 Å³/cell
# - Relative energy among the computed polymorphs: 0.00 kJ per mole of atoms
# - Calculated density: 7.28 g/cm³
# - Energy relative to the elements, uncorrected: 0.410 eV per atom
data_ZnIrI2N
_chemical_formula_sum 'Zn1 Ir1 I2 N1'
_cell_length_a 5.675
_cell_length_b 5.675
_cell_length_c 3.722
_cell_angle_alpha 90.00
_cell_angle_beta 90.00
_cell_angle_gamma 90.00
_symmetry_space_group_name_H-M 'P 1'
_symmetry_Int_Tables_number 1
loop_
_symmetry_equiv_pos_as_xyz
'x,y,z'
loop_
_atom_site_label
_atom_site_type_symbol
_atom_site_fract_x
_atom_site_fract_y
_atom_site_fract_z
I1 I 0.500 0.000 0.000
I2 I 0.000 0.500 0.000
N1 N 0.000 0.000 0.500
Zn1 Zn 0.500 0.500 0.500
Ir1 Ir 0.000 0.000 0.000

=====

# PBE ThPaZnOs, optimized geometry
# - Space-group type: No. 216
# - V: 88.7 Å³/cell
# - Calculated density: 13.45 g/cm³
# - Energy relative to the elements: -78 meV/atom
data_ThPaZnOs
_chemical_formula_sum 'Th1 Pa1 Zn1 Os1'
_cell_length_a 5.006
_cell_length_b 5.006
_cell_length_c 5.006
_cell_angle_alpha 60.00
_cell_angle_beta 60.00
_cell_angle_gamma 60.00
_symmetry_space_group_name_H-M 'P 1'
_symmetry_Int_Tables_number 1
loop_
_symmetry_equiv_pos_as_xyz
'x,y,z'
loop_
_atom_site_label
_atom_site_type_symbol
_atom_site_fract_x
_atom_site_fract_y
_atom_site_fract_z
Th1 Th 0.750 0.750 0.750
Pa1 Pa 0.250 0.250 0.250
Zn1 Zn 0.500 0.500 0.500
Os1 Os 0.000 0.000 0.000

=====

# PBE CaErBiPb, optimized geometry
# - Space-group type: No. 216
# - V: 119.4 Å³/cell
# - Calculated density: 8.67 g/cm³
# - Energy relative to the elements: -471 meV/atom
data_CaErBiPb
_chemical_formula_sum 'Ca1 Er1 Bi1 Pb1'
_cell_length_a 5.528
_cell_length_b 5.528
_cell_length_c 5.528
_cell_angle_alpha 60.00
_cell_angle_beta 60.00
_cell_angle_gamma 60.00
_symmetry_space_group_name_H-M 'P 1'
_symmetry_Int_Tables_number 1
loop_
_symmetry_equiv_pos_as_xyz
'x,y,z'
loop_
_atom_site_label
_atom_site_type_symbol
_atom_site_fract_x
_atom_site_fract_y
_atom_site_fract_z
Ca1 Ca 0.000 0.000 0.000
Pb1 Pb 0.250 0.250 0.250
Bi1 Bi 0.750 0.750 0.750
Er1 Er 0.500 0.500 0.500

=====

Copy entry 5 word for word.
# PBE CaMg2Pt, optimized geometry
# - Space-group type: No. 65
# - V: 85.6 Å³/cell
# - Calculated density: 5.51 g/cm³
# - Energy relative to the elements: -160 meV/atom
data_CaMg2Pt
_chemical_formula_sum 'Ca1 Mg2 Pt1'
_cell_length_a 5.612
_cell_length_b 5.612
_cell_length_c 3.077
_cell_angle_alpha 90.00
_cell_angle_beta 90.00
_cell_angle_gamma 117.98
_symmetry_space_group_name_H-M 'P 1'
_symmetry_Int_Tables_number 1
loop_
_symmetry_equiv_pos_as_xyz
'x,y,z'
loop_
_atom_site_label
_atom_site_type_symbol
_atom_site_fract_x
_atom_site_fract_y
_atom_site_fract_z
Mg1 Mg 0.500 0.500 0.000
Mg2 Mg 0.000 0.000 0.000
Pt1 Pt 0.500 0.000 0.500
Ca1 Ca 0.000 0.500 0.500

=====

- Among the records above, which one has the highest V?
  ThNiSb2N